1.
11
Lattice="7.284 -1.657 -2.121 -5.631 7.965 1.202 -5.631 -0.765 8.019" Properties=species:S:1:pos:R:3 comment="SrCd3Hg7 | Alexandria via LeMat-Bulk | PBE-GGA | optimized geometry" delta_e_f_kj_per_mol_atoms=-11 space_group="C2/m, No. 12" e_tot_ev_per_cell=-7.83 pbc="T T T"
Sr -1.989 2.772 3.550
Cd -5.631 5.905 2.811
Cd 3.642 -0.828 -1.061
Cd -5.631 1.296 6.410
Hg -0.725 0.843 1.080
Hg -7.007 7.014 5.253
Hg 3.030 2.148 -0.979
Hg -7.007 3.395 8.078
Hg -5.631 3.600 4.611
Hg 3.030 -1.470 1.847
Hg -3.252 4.701 6.020



2.
9
Lattice="-3.926 -3.322 -3.694 5.157 -1.541 -4.098 3.661 -5.577 1.120" Properties=species:S:1:pos:R:3 comment="Sr2CdHg6 | Alexandria via LeMat-Bulk | PBE-GGA | optimized geometry" delta_e_f_kj_per_mol_atoms=-33 space_group="P-3m1, No. 164" e_tot_ev_per_cell=-9.18 pbc="T T T"
Sr 2.614 -7.510 -5.058
Sr 2.277 -2.930 -1.614
Cd 0.000 0.000 0.000
Hg 3.585 -6.204 -1.752
Hg 5.960 -6.909 -3.635
Hg 4.273 -4.346 -4.155
Hg 1.307 -4.236 -4.920
Hg -1.068 -3.532 -3.037
Hg 0.618 -6.095 -2.517



3.
11
Lattice="-3.092 1.213 -4.072 -3.680 -3.281 1.817 -4.479 8.276 5.868" Properties=species:S:1:pos:R:3 comment="SrCd8Hg2 | Alexandria via LeMat-Bulk | PBE-GGA | optimized geometry" delta_e_f_kj_per_mol_atoms=0 space_group="P4/mmm, No. 123" e_tot_ev_per_cell=-9.62 relative_energy_mev_per_atom=0 pbc="T T T"
Sr 0.000 0.000 0.000
Cd -4.080 2.498 3.843
Cd -3.786 4.745 0.898
Cd -4.926 1.812 0.891
Cd -6.325 4.397 2.723
Cd -2.706 -0.040 2.044
Cd -2.412 2.207 -0.901
Cd -5.453 5.035 5.642
Cd -5.159 7.282 2.697
Hg -1.512 2.794 1.981
Hg -2.967 5.482 3.887